Record 1
The following is a PBE-GGA calculation of a geometry-optimized BaIn2Se4 structure, from Alexandria.

The structure belongs to space group Fddd (No. 70, origin choice 2); the cell edges are 13.792, 22.932 and 23.317 Å and the angles 90.00°, 90.00° and 90.00°. Symmetry generates all atoms from Ba at (0.125, 0.125, 0.125), Ba at (0.125, 0.125, 0.373), Ba at (0.125, 0.125, 0.625), In at (0.087, 0.304, 0.250), In at (0.125, 0.262, 0.499), Se at (0.001, 0.000, 0.586), Se at (0.001, 0.000, 0.914), Se at (0.004, 0.094, 0.249) and Se at (0.018, 0.084, 0.751).

Its formation energy from raw total energies is -1.043 eV per atom. The density of states at the Fermi level is 0.000 states/eV/atom. Its total magnetization is 0.0 μB/f.u. The calculation puts the total energy at -4.091 eV per atom.

Record 2
The following is a PBE-GGA calculation of a geometry-optimized BaSmInSe4 structure, from Alexandria.

The structure belongs to space group P2_1/m (No. 11); the cell edges are 7.130, 7.258 and 8.850 Å and the angles 90.00°, 107.03° and 90.00°. Symmetry generates all atoms from Ba at (0.235, 0.250, 0.054), Sm at (0.220, 0.250, 0.555), In at (0.240, 0.750, 0.328), Se at (0.019, 0.515, 0.722), Se at (0.448, 0.750, 0.136) and Se at (0.476, 0.750, 0.606).

Its formation energy from raw total energies is -1.400 eV per atom. Its total magnetization is 0.0 μB/f.u. The calculation puts the total energy at -4.732 eV per atom.

Record 3
The following is a PBE-GGA calculation of a geometry-optimized Ba2SmInSe5 structure, from Alexandria.

The structure belongs to space group Cmc2_1 (No. 36); the cell edges are 4.347, 19.300 and 13.496 Å and the angles 90.00°, 90.00° and 90.00°. Symmetry generates all atoms from Ba at (0.000, 0.117, 0.000), Ba at (0.000, 0.130, 0.634), Sm at (0.000, 0.211, 0.337), In at (0.000, 0.446, 0.756), Se at (0.000, 0.049, 0.370), Se at (0.000, 0.291, 0.980), Se at (0.000, 0.314, 0.686), Se at (0.000, 0.357, 0.320) and Se at (0.000, 0.496, 0.086).

Its formation energy from raw total energies is -1.631 eV per atom. Its total magnetization is 0.0 μB/f.u. The calculation puts the total energy at -4.823 eV per atom.

Record 4
The following is a PBE-GGA calculation of a geometry-optimized Ba2InSnSe4 structure, from Alexandria.

The structure belongs to space group C2/c (No. 15); the cell edges are 12.749, 12.773 and 8.945 Å and the angles 90.00°, 134.55° and 90.00°. Symmetry generates all atoms from Ba at (0.000, 0.000, 0.000), Ba at (0.250, 0.250, 0.000), In at (0.250, 0.250, 0.500), Sn at (0.000, 0.500, 0.000), Se at (0.001, 0.257, 0.483) and Se at (0.237, 0.493, 0.487).

Its formation energy from raw total energies is -1.136 eV per atom. The density of states at the Fermi level is 0.580 states/eV/atom. Its total magnetization is 0.0 μB/f.u. The calculation puts the total energy at -4.202 eV per atom.

Record 5
The following is a PBE-GGA calculation of a geometry-optimized BaInSn2Se4 structure, from Alexandria.

The structure belongs to space group Imma (No. 74); the cell edges are 8.786, 8.805 and 12.429 Å and the angles 90.00°, 90.00° and 90.00°. Symmetry generates all atoms from Ba at (0.250, 0.250, 0.250), In at (0.000, 0.000, 0.000), Sn at (0.000, 0.000, 0.500), Sn at (0.250, 0.250, 0.750), Se at (0.000, 0.015, 0.749) and Se at (0.247, 0.250, 0.508).

Its formation energy from raw total energies is -0.766 eV per atom. The density of states at the Fermi level is 0.514 states/eV/atom. Its total magnetization is 0.0 μB/f.u. The calculation puts the total energy at -4.091 eV per atom.

Record 6
The following is a PBE-GGA calculation of a geometry-optimized Ba2TbInSe5 structure, from Alexandria.

The structure belongs to space group Cmc2_1 (No. 36); the cell edges are 4.319, 19.206 and 13.493 Å and the angles 90.00°, 90.00° and 90.00°. Symmetry generates all atoms from Ba at (0.000, 0.118, 0.000), Ba at (0.000, 0.131, 0.633), Tb at (0.000, 0.211, 0.337), In at (0.000, 0.446, 0.757), Se at (0.000, 0.051, 0.371), Se at (0.000, 0.291, 0.977), Se at (0.000, 0.312, 0.689), Se at (0.000, 0.355, 0.320) and Se at (0.000, 0.496, 0.086).

Its formation energy from raw total energies is -1.634 eV per atom. Its total magnetization is 0.0 μB/f.u. The calculation puts the total energy at -4.816 eV per atom.

Record 7
The following is a PBE-GGA calculation of a geometry-optimized BaIn2TeSe6 structure, from Alexandria.

The structure belongs to space group C2/c (No. 15); the cell edges are 15.475, 10.837 and 8.715 Å and the angles 90.00°, 115.19° and 90.00°. Symmetry generates all atoms from Ba at (0.000, 0.205, 0.250), In at (0.222, 0.419, 0.145), Te at (0.000, 0.241, 0.750), Se at (0.091, 0.077, 0.650), Se at (0.139, 0.463, 0.356) and Se at (0.148, 0.196, 0.071).

Its formation energy from raw total energies is -0.611 eV per atom. Its total magnetization is 0.0 μB/f.u. The calculation puts the total energy at -3.756 eV per atom.

Record 8
The following is a PBE-GGA calculation of a geometry-optimized Ba4In2Te2Se5 structure, from Alexandria.

The structure belongs to space group P4/mbm (No. 127); the cell edges are 8.756, 8.756 and 11.503 Å and the angles 90.00°, 90.00° and 90.00°. Symmetry generates all atoms from Ba at (0.000, 0.000, 0.217), Ba at (0.157, 0.343, 0.500), In at (0.000, 0.500, 0.154), Te at (0.180, 0.320, 0.000), Se at (0.000, 0.000, 0.500) and Se at (0.158, 0.658, 0.303).

Its formation energy from raw total energies is -1.428 eV per atom. The density of states at the Fermi level is 0.000 states/eV/atom. Its total magnetization is 0.0 μB/f.u. The calculation puts the total energy at -4.265 eV per atom.

Look up the total energy of the second one.
-4.732 eV per atom